Version P
SrHoCd4 (PBE, optimized geometry); density = 7.5 g cm⁻³; volume = 156 Å³/cell; symmetry = F-43m; DOS(E_F) = 0.743 states/eV/atom; magnetic moment = 0.000 μB/cell
1.0
-5.1344 0.7941 3.0758
-0.0571 -0.6608 6.0011
-0.6690 4.8285 3.5626
Sr Ho Cd
1 1 4
Direct
0.2500 0.2500 0.2500
0.0000 0.0000 0.0000
0.6256 0.6256 0.1231
0.6256 0.1231 0.6256
0.6256 0.6256 0.6256
0.1231 0.6256 0.6256

***

Version Q
SrHoCd4 (PBE, optimized geometry); density = 7.4 g cm⁻³; volume = 159 Å³/cell; symmetry = Pmmm; DOS(E_F) = 0.593 states/eV/atom; magnetic moment = 0.000 μB/cell
1.0
3.5568 -0.0013 0.0003
0.0016 5.0548 -0.0002
-0.0007 0.0002 8.8203
Sr Ho Cd
1 1 4
Direct
0.9987 0.9973 0.4981
0.9986 0.4973 0.9981
0.4986 0.9973 0.1582
0.4985 0.9973 0.8381
0.4986 0.4973 0.6734
0.4986 0.4973 0.3229

***

The least stable of the structures above is version P, whereas version Q is the most stable.